No. 1
# SrRe3Pd

An optimized crystal structure of SrRe3Pd (GGA-PBE, Alexandria via LeMat-Bulk).

For the formation energy, the calculation gives 359.3 kJ/mol of atoms. Its density of states at the Fermi level is 6.2 states/eV per cell. The energy relative to the lowest polymorph listed for this composition comes out at 7.85 eV per formula unit. The value obtained for the total magnetic moment is 0.0 Bohr magnetons per cell.

a = 4.7199 Å, b = 4.7199 Å, c = 4.7199 Å
α = 90.00°, β = 90.00°, γ = 90.00°
Fractional positions:
Re: 0.0000 0.0000 0.5000
Pd: 0.5000 0.5000 0.5000
Re: 0.5000 0.0000 0.0000
Re: 0.0000 0.5000 0.0000
Sr: 0.0000 0.0000 0.0000

No. 2
# SrRePd2

An optimized crystal structure of SrRePd2 (GGA-PBE, Alexandria via LeMat-Bulk).

For the formation energy, the calculation gives 58.2 kJ/mol of atoms. Its density of states at the Fermi level is 11.3 states/eV per cell. The energy relative to the lowest polymorph listed for this composition comes out at 0.38 eV per formula unit. The value obtained for the total magnetic moment is 0.0 Bohr magnetons per cell.

a = 5.1463 Å, b = 5.1463 Å, c = 9.0256 Å
α = 73.44°, β = 73.44°, γ = 90.00°
Fractional positions:
Pd: 0.8221 0.1250 0.2500
Sr: 0.5000 0.5000 0.0000
Re: 0.0000 0.0000 0.0000
Re: 0.7500 0.2500 0.5000
Pd: 0.3750 0.1779 0.7500
Pd: 0.9279 0.6250 0.2500
Pd: 0.8750 0.0721 0.7500
Sr: 0.2500 0.7500 0.5000

No. 3
# Sr2RePd

An optimized crystal structure of Sr2RePd (GGA-PBE, Alexandria via LeMat-Bulk).

For the formation energy, the calculation gives 70.0 kJ/mol of atoms. Its density of states at the Fermi level is 4.5 states/eV per cell. The energy relative to the lowest polymorph listed for this composition comes out at 0.00 eV per formula unit. The value obtained for the total magnetic moment is 2.9 Bohr magnetons per cell.

a = 5.3065 Å, b = 5.3065 Å, c = 5.3065 Å
α = 60.00°, β = 60.00°, γ = 60.00°
Fractional positions:
Sr: 0.2500 0.2500 0.2500
Re: 0.5000 0.5000 0.5000
Pd: 0.0000 0.0000 0.0000
Sr: 0.7500 0.7500 0.7500

Repeat the second record exactly.
# SrRePd2

An optimized crystal structure of SrRePd2 (GGA-PBE, Alexandria via LeMat-Bulk).

For the formation energy, the calculation gives 58.2 kJ/mol of atoms. Its density of states at the Fermi level is 11.3 states/eV per cell. The energy relative to the lowest polymorph listed for this composition comes out at 0.38 eV per formula unit. The value obtained for the total magnetic moment is 0.0 Bohr magnetons per cell.

a = 5.1463 Å, b = 5.1463 Å, c = 9.0256 Å
α = 73.44°, β = 73.44°, γ = 90.00°
Fractional positions:
Pd: 0.8221 0.1250 0.2500
Sr: 0.5000 0.5000 0.0000
Re: 0.0000 0.0000 0.0000
Re: 0.7500 0.2500 0.5000
Pd: 0.3750 0.1779 0.7500
Pd: 0.9279 0.6250 0.2500
Pd: 0.8750 0.0721 0.7500
Sr: 0.2500 0.7500 0.5000

What did the third record say?
# Sr2RePd

An optimized crystal structure of Sr2RePd (GGA-PBE, Alexandria via LeMat-Bulk).

For the formation energy, the calculation gives 70.0 kJ/mol of atoms. Its density of states at the Fermi level is 4.5 states/eV per cell. The energy relative to the lowest polymorph listed for this composition comes out at 0.00 eV per formula unit. The value obtained for the total magnetic moment is 2.9 Bohr magnetons per cell.

a = 5.3065 Å, b = 5.3065 Å, c = 5.3065 Å
α = 60.00°, β = 60.00°, γ = 60.00°
Fractional positions:
Sr: 0.2500 0.2500 0.2500
Re: 0.5000 0.5000 0.5000
Pd: 0.0000 0.0000 0.0000
Sr: 0.7500 0.7500 0.7500